1.
Below is SrAl10Ir2 after structural relaxation, with properties calculated at the PBE level.

Geometry as extended XYZ:
```
26
Lattice="4.585 -5.191 0.000 4.585 5.191 0.000 0.000 0.000 9.210" Properties=species:S:1:pos:R:3 pbc="T T T"
Sr 4.585 3.901 6.907
Sr 4.585 -3.901 2.302
Al 2.542 1.387 6.907
Al 4.585 3.517 0.950
Al 4.585 3.517 3.655
Al 2.041 0.000 0.000
Al 2.041 0.000 4.605
Al 3.238 1.329 2.302
Al 4.585 1.250 5.092
Al 4.585 1.250 8.722
Al 2.542 -1.387 2.302
Al 3.238 -1.329 6.907
Al 5.932 1.329 2.302
Al 6.628 1.387 6.907
Al 4.585 -1.250 0.488
Al 4.585 -1.250 4.117
Al 5.932 -1.329 6.907
Al 7.129 0.000 0.000
Al 7.129 0.000 4.605
Al 4.585 -3.517 5.555
Al 4.585 -3.517 8.260
Al 6.628 -1.387 2.302
Ir 2.293 2.595 0.000
Ir 2.293 2.595 4.605
Ir 2.293 -2.595 0.000
Ir 2.293 -2.595 4.605
```

Formation energy from the elements, meV per atom: -510.1

---

2.
Below is CdS2F after structural relaxation, with properties calculated at the PBE level.

Geometry as extended XYZ:
```
4
Lattice="0.000 3.182 3.182 3.182 0.000 3.182 3.182 3.182 0.000" Properties=species:S:1:pos:R:3 pbc="T T T"
Cd 0.000 0.000 0.000
S 1.591 1.591 1.591
S 4.773 4.773 4.773
F 3.182 3.182 3.182
```

Energy relative to the lowest polymorph listed for this composition, meV/atom: 504.7

---

no.,total magnetic moment (μB per atom)
1,0.00
2,0.00